# Co3BiPd PBE optimized geometry
# Space-group type   Pm-3m (221)
# Offset from the most stable computed form   0 meV/atom
# ΔE_f   25.44 kcal/mol of atoms
# Fermi-level density of states   1.450 states/eV per atom
data_Co3BiPd
_chemical_formula_sum 'Co3 Bi1 Pd1'
_cell_length_a 4.6131
_cell_length_b 4.6131
_cell_length_c 4.6131
_cell_angle_alpha 90.00
_cell_angle_beta 90.00
_cell_angle_gamma 90.00
_space_group_name_H-M_alt 'P 1'
_space_group_IT_number 1
loop_
_space_group_symop_operation_xyz
'x,y,z'
loop_
_atom_site_label
_atom_site_fract_x
_atom_site_fract_y
_atom_site_fract_z
Pd1 0.0000 0.0000 0.0000
Bi1 0.5000 0.5000 0.5000
Co1 0.0000 0.0000 0.5000
Co2 0.5000 0.0000 0.0000
Co3 0.0000 0.5000 0.0000